Computed, not measured: crystalline Ca2AlH10BrO8 at its relaxed geometry at the GGA-PBEsol level of DFT.

Values from the calculation:
Its total energy is -0.2035 Ha/atom.

Structure (CIF):
```
data_Ca2AlH10BrO8
_chemical_formula_sum 'Ca2 Al1 H10 Br1 O8'
_space_group_name_H-M_alt 'P -1'
_space_group_IT_number 2
_space_group_name_Hall '-P 1'
_cell_length_a 5.664
_cell_length_b 5.729
_cell_length_c 8.581
_cell_angle_alpha 73.89
_cell_angle_beta 70.95
_cell_angle_gamma 60.49
loop_
_atom_site_label
_atom_site_type_symbol
_atom_site_fract_x
_atom_site_fract_y
_atom_site_fract_z
Ca1 Ca 0.194 0.183 0.427
Al1 Al 0.500 0.500 0.500
H1 H 0.191 0.318 0.737
H2 H 0.225 0.208 0.065
H3 H 0.239 0.756 0.266
H4 H 0.273 0.788 0.736
H5 H 0.495 0.793 0.933
Br1 Br 0.000 0.000 0.000
O1 O 0.198 0.415 0.624
O2 O 0.239 0.780 0.375
O3 O 0.306 0.268 0.123
O4 O 0.395 0.780 0.624
```

Computed, not measured: crystalline Ca2HfAlBr at its relaxed geometry at the GGA-PBEsol level of DFT.

Values from the calculation:
Its total energy is -0.1290 Ha/atom.

Structure (CIF):
```
data_Ca2HfAlBr
_chemical_formula_sum 'Ca2 Hf1 Al1 Br1'
_space_group_name_H-M_alt 'P 4/m m m'
_space_group_IT_number 123
_space_group_name_Hall '-P 4 2'
_cell_length_a 6.052
_cell_length_b 6.052
_cell_length_c 5.047
_cell_angle_alpha 90.00
_cell_angle_beta 90.00
_cell_angle_gamma 90.00
loop_
_atom_site_label
_atom_site_type_symbol
_atom_site_fract_x
_atom_site_fract_y
_atom_site_fract_z
Ca1 Ca 0.000 0.500 0.000
Hf1 Hf 0.000 0.000 0.000
Al1 Al 0.000 0.000 0.500
Br1 Br 0.500 0.500 0.500
```

Computed, not measured: crystalline CaAl2BrN at its relaxed geometry at the GGA-PBEsol level of DFT.

Values from the calculation:
Its total energy is -0.1179 Ha/atom.

Structure (CIF):
```
data_CaAl2BrN
_chemical_formula_sum 'Ca1 Al2 Br1 N1'
_space_group_name_H-M_alt 'P 4/m m m'
_space_group_IT_number 123
_space_group_name_Hall '-P 4 2'
_cell_length_a 5.137
_cell_length_b 5.137
_cell_length_c 4.276
_cell_angle_alpha 90.00
_cell_angle_beta 90.00
_cell_angle_gamma 90.00
loop_
_atom_site_label
_atom_site_type_symbol
_atom_site_fract_x
_atom_site_fract_y
_atom_site_fract_z
Ca1 Ca 0.000 0.000 0.000
Al1 Al 0.000 0.500 0.500
Br1 Br 0.500 0.500 0.500
N1 N 0.500 0.500 0.000
```

Computed, not measured: crystalline AlCdBr at its relaxed geometry at the GGA-PBEsol level of DFT.

Values from the calculation:
Its total energy is -0.0885 Ha/atom. The value obtained for the offset from the most stable computed form is 0.0000 eV per atom.

Structure (CIF):
```
data_AlCdBr
_chemical_formula_sum 'Al2 Cd2 Br2'
_space_group_name_H-M_alt 'I 4 m m'
_space_group_IT_number 107
_space_group_name_Hall 'I 4 -2'
_cell_length_a 3.452
_cell_length_b 3.452
_cell_length_c 11.273
_cell_angle_alpha 90.00
_cell_angle_beta 90.00
_cell_angle_gamma 90.00
loop_
_atom_site_label
_atom_site_type_symbol
_atom_site_fract_x
_atom_site_fract_y
_atom_site_fract_z
Al1 Al 0.000 0.000 0.000
Cd1 Cd 0.000 0.000 0.639
Br1 Br 0.000 0.000 0.339
```

Copy entry 4 word for word.
Computed, not measured: crystalline AlCdBr at its relaxed geometry at the GGA-PBEsol level of DFT.

Values from the calculation:
Its total energy is -0.0885 Ha/atom. The value obtained for the offset from the most stable computed form is 0.0000 eV per atom.

Structure (CIF):
```
data_AlCdBr
_chemical_formula_sum 'Al2 Cd2 Br2'
_space_group_name_H-M_alt 'I 4 m m'
_space_group_IT_number 107
_space_group_name_Hall 'I 4 -2'
_cell_length_a 3.452
_cell_length_b 3.452
_cell_length_c 11.273
_cell_angle_alpha 90.00
_cell_angle_beta 90.00
_cell_angle_gamma 90.00
loop_
_atom_site_label
_atom_site_type_symbol
_atom_site_fract_x
_atom_site_fract_y
_atom_site_fract_z
Al1 Al 0.000 0.000 0.000
Cd1 Cd 0.000 0.000 0.639
Br1 Br 0.000 0.000 0.339
```